The following is a DFT calculation (PBE-GGA) of a relaxed structure of LiBeP2.

It has space group Pmm2 (No. 25), with a = 2.4959 Å, b = 3.8746 Å, c = 5.7682 Å, α = 90.00°, β = 90.00° and γ = 90.00°. Symmetry generates all atoms from Li at (0.0000, 0.0000, 0.0000), Be at (0.5000, 0.5000, 0.2255), P at (0.5000, 0.0000, 0.4081) and P at (0.5000, 0.5000, 0.8445).

Its density is 2.32 g/cm3. The calculation puts the formation energy at -0.022 eV/atom. The density of states at the Fermi level is 0.1857 states/eV per atom.